Crystalline BaBPb3 at its relaxed geometry, computed with PBE.

Symmetry: No. 221
E_tot, eV per atom: -3.625
Energy of formation from the pure elements, eV/atom: 0.320

Lattice parameters (Å, degrees): 5.3144 5.3144 5.3144 90.00 90.00 90.00
Atoms (fractional coordinates):
Ba1 0.0000 0.0000 0.0000
B1 0.5000 0.5000 0.5000
Pb1 0.0000 0.5000 0.5000
Pb2 0.5000 0.0000 0.5000
Pb3 0.5000 0.5000 0.0000